# 1
# HfCdTcRh2 (PBE, relaxed)
# Spin magnetization, μB/atom: 0.5315
# Uncorrected energy, eV for the cell shown: -28.5
data_HfCdTcRh2
_chemical_formula_sum 'Hf1 Cd1 Tc1 Rh2'
_cell_length_a 4.755
_cell_length_b 4.755
_cell_length_c 4.820
_cell_angle_alpha 90.00
_cell_angle_beta 90.00
_cell_angle_gamma 90.00
_symmetry_space_group_name_H-M 'P 4/m m m'
_symmetry_Int_Tables_number 123
_symmetry_space_group_name_Hall '-P 4 2'
loop_
_atom_site_label
_atom_site_type_symbol
_atom_site_fract_x
_atom_site_fract_y
_atom_site_fract_z
Hf1 Hf 0.000 0.000 0.000
Cd1 Cd 0.500 0.500 0.500
Tc1 Tc 0.500 0.500 0.000
Rh1 Rh 0.000 0.500 0.500

***

# 2
# TmHfCdRh (PBE, relaxed)
# Spin magnetization, μB/atom: 0.0000
# Uncorrected energy, eV for the cell shown: -96.8
data_TmHfCdRh
_chemical_formula_sum 'Tm4 Hf4 Cd4 Rh4'
_cell_length_a 6.906
_cell_length_b 6.906
_cell_length_c 6.906
_cell_angle_alpha 90.00
_cell_angle_beta 90.00
_cell_angle_gamma 90.00
_symmetry_space_group_name_H-M 'F -4 3 m'
_symmetry_Int_Tables_number 216
_symmetry_space_group_name_Hall 'F -4 2 3'
loop_
_atom_site_label
_atom_site_type_symbol
_atom_site_fract_x
_atom_site_fract_y
_atom_site_fract_z
Tm1 Tm 0.000 0.000 0.000
Hf1 Hf 0.000 0.000 0.500
Cd1 Cd 0.250 0.250 0.250
Rh1 Rh 0.250 0.250 0.750

***

# 3
# Hf2ZnCdRh (PBE, relaxed)
# Spin magnetization, μB/atom: 0.0000
# Uncorrected energy, eV for the cell shown: -28.5
data_Hf2ZnCdRh
_chemical_formula_sum 'Hf2 Zn1 Cd1 Rh1'
_cell_length_a 4.930
_cell_length_b 4.930
_cell_length_c 4.819
_cell_angle_alpha 90.00
_cell_angle_beta 90.00
_cell_angle_gamma 90.00
_symmetry_space_group_name_H-M 'P 4/m m m'
_symmetry_Int_Tables_number 123
_symmetry_space_group_name_Hall '-P 4 2'
loop_
_atom_site_label
_atom_site_type_symbol
_atom_site_fract_x
_atom_site_fract_y
_atom_site_fract_z
Hf1 Hf 0.000 0.500 0.000
Zn1 Zn 0.000 0.000 0.500
Cd1 Cd 0.500 0.500 0.500
Rh1 Rh 0.000 0.000 0.000

***

# 4
# HfCdRu3 (PBE, relaxed)
# Spin magnetization, μB/atom: 0.0000
# Uncorrected energy, eV for the cell shown: -29.6
data_HfCdRu3
_chemical_formula_sum 'Hf1 Cd1 Ru3'
_cell_length_a 4.730
_cell_length_b 4.730
_cell_length_c 4.730
_cell_angle_alpha 90.00
_cell_angle_beta 90.00
_cell_angle_gamma 90.00
_symmetry_space_group_name_H-M 'P m -3 m'
_symmetry_Int_Tables_number 221
_symmetry_space_group_name_Hall '-P 4 2 3'
loop_
_atom_site_label
_atom_site_type_symbol
_atom_site_fract_x
_atom_site_fract_y
_atom_site_fract_z
Hf1 Hf 0.000 0.000 0.000
Cd1 Cd 0.500 0.500 0.500
Ru1 Ru 0.000 0.500 0.500

***

Number 1: energy relative to the elements 1481 meV per atom. Number 2: energy relative to the elements -374 meV per atom. Number 3: energy relative to the elements 197 meV per atom. Number 4: energy relative to the elements 1823 meV per atom.